# 1
Entry from Alexandria: a relaxed structure of La2Al6CoPd (PBE).

Summary:
Raw total energy: -4.875 eV/atom
Total magnetic moment: 0.000 μB per formula unit
ΔE_f: -0.414 eV per atom

Structure (CIF):
```
data_La2Al6CoPd
_cell_length_a 6.6375
_cell_length_b 6.6375
_cell_length_c 16.2424
_cell_angle_alpha 90.00
_cell_angle_beta 90.00
_cell_angle_gamma 120.00
_symmetry_space_group_name_H-M 'R -3 m'
_symmetry_Int_Tables_number 166
_symmetry_space_group_name_Hall '-R 3 2"'
loop_
_atom_site_label
_atom_site_type_symbol
_atom_site_fract_x
_atom_site_fract_y
_atom_site_fract_z
_atom_site_occupancy
La1 La 0.0000 0.0000 0.2500 1
Al1 Al 0.0120 0.5060 0.2470 1
Co1 Co 0.0000 0.0000 0.5000 1
Pd1 Pd 0.0000 0.0000 0.0000 1
```

=====

# 2
Entry from Alexandria: a relaxed structure of La2PmAl12Co3 (PBE).

Summary:
Raw total energy: -4.529 eV/atom
Total magnetic moment: 0.000 μB per formula unit
ΔE_f: -0.038 eV per atom

Structure (CIF):
```
data_La2PmAl12Co3
_cell_length_a 8.4613
_cell_length_b 8.4613
_cell_length_c 19.0572
_cell_angle_alpha 90.00
_cell_angle_beta 90.00
_cell_angle_gamma 120.00
_symmetry_space_group_name_H-M 'R -3 m'
_symmetry_Int_Tables_number 166
_symmetry_space_group_name_Hall '-R 3 2"'
loop_
_atom_site_label
_atom_site_type_symbol
_atom_site_fract_x
_atom_site_fract_y
_atom_site_fract_z
_atom_site_occupancy
La1 La 0.0000 0.0000 0.0838 1
Pm1 Pm 0.0000 0.0000 0.5000 1
Al1 Al 0.0859 0.5429 0.3198 1
Al2 Al 0.0931 0.5465 0.8847 1
Co1 Co 0.0000 0.5000 0.0000 1
```

=====

# 3
Entry from Alexandria: a relaxed structure of LaAlCo2Rh (PBE).

Summary:
Raw total energy: -5.896 eV/atom
Total magnetic moment: 3.702 μB per formula unit
ΔE_f: 0.150 eV per atom

Structure (CIF):
```
data_LaAlCo2Rh
_cell_length_a 4.745
_cell_length_b 4.745
_cell_length_c 4.526
_cell_angle_alpha 90.00
_cell_angle_beta 90.00
_cell_angle_gamma 90.00
_symmetry_space_group_name_H-M 'P 4/m m m'
_symmetry_Int_Tables_number 123
_symmetry_space_group_name_Hall '-P 4 2'
loop_
_atom_site_label
_atom_site_type_symbol
_atom_site_fract_x
_atom_site_fract_y
_atom_site_fract_z
_atom_site_occupancy
La1 La 0.000 0.000 0.000 1
Al1 Al 0.500 0.500 0.000 1
Co1 Co 0.000 0.500 0.500 1
Rh1 Rh 0.500 0.500 0.500 1
```

=====

# 4
Entry from Alexandria: a relaxed structure of La2Al6CoRu (PBE).

Summary:
Raw total energy: -5.349 eV/atom
Total magnetic moment: 0.000 μB per formula unit
ΔE_f: -0.480 eV per atom

Structure (CIF):
```
data_La2Al6CoRu
_cell_length_a 6.577
_cell_length_b 6.587
_cell_length_c 9.308
_cell_angle_alpha 90.00
_cell_angle_beta 90.00
_cell_angle_gamma 90.00
_symmetry_space_group_name_H-M 'I m m m'
_symmetry_Int_Tables_number 71
_symmetry_space_group_name_Hall '-I 2 2'
loop_
_atom_site_label
_atom_site_type_symbol
_atom_site_fract_x
_atom_site_fract_y
_atom_site_fract_z
_atom_site_occupancy
La1 La 0.000 0.000 0.250 1
Al1 Al 0.000 0.500 0.244 1
Al2 Al 0.244 0.256 0.000 1
Co1 Co 0.000 0.500 0.000 1
Ru1 Ru 0.000 0.500 0.500 1
```

=====

# 5
Entry from Alexandria: a relaxed structure of LaAlCo2Si (PBE).

Summary:
Raw total energy: -4.891 eV/atom
Total magnetic moment: 2.585 μB per formula unit
Formation energy without anion corrections: 0.770 eV per atom

Structure (CIF):
```
data_LaAlCo2Si
_cell_length_a 4.439
_cell_length_b 4.439
_cell_length_c 5.621
_cell_angle_alpha 90.00
_cell_angle_beta 90.00
_cell_angle_gamma 90.00
_symmetry_space_group_name_H-M 'P 4/m m m'
_symmetry_Int_Tables_number 123
_symmetry_space_group_name_Hall '-P 4 2'
loop_
_atom_site_label
_atom_site_type_symbol
_atom_site_fract_x
_atom_site_fract_y
_atom_site_fract_z
_atom_site_occupancy
La1 La 0.000 0.000 0.000 1
Al1 Al 0.000 0.000 0.500 1
Co1 Co 0.000 0.500 0.500 1
Si1 Si 0.500 0.500 0.000 1
```

=====

# 6
Entry from Alexandria: a relaxed structure of LaAl2CoSn (PBE).

Summary:
Raw total energy: -5.019 eV/atom
Total magnetic moment: 0.000 μB per formula unit
ΔE_f: -0.315 eV per atom

Structure (CIF):
```
data_LaAl2CoSn
_cell_length_a 4.702
_cell_length_b 4.702
_cell_length_c 5.044
_cell_angle_alpha 90.00
_cell_angle_beta 90.00
_cell_angle_gamma 90.00
_symmetry_space_group_name_H-M 'P 4/m m m'
_symmetry_Int_Tables_number 123
_symmetry_space_group_name_Hall '-P 4 2'
loop_
_atom_site_label
_atom_site_type_symbol
_atom_site_fract_x
_atom_site_fract_y
_atom_site_fract_z
_atom_site_occupancy
La1 La 0.000 0.000 0.000 1
Al1 Al 0.000 0.500 0.500 1
Co1 Co 0.000 0.000 0.500 1
Sn1 Sn 0.500 0.500 0.000 1
```

=====

| no. | calculated volume (Å³ per atom) |
| --- | --- |
| 1 | 20.67 |
| 2 | 21.88 |
| 3 | 20.38 |
| 4 | 20.16 |
| 5 | 22.15 |
| 6 | 22.30 |